No. 1
Material: Ca2Ga2SiRh5
Method: DFT, PBE
State: relaxed Values from VASP.

Structure (Quantum ESPRESSO input):
```
&SYSTEM
  ibrav = 0, nat = 20, ntyp = 4
/
ATOMIC_SPECIES
Ca 40.08 Ca.upf
Rh 102.91 Rh.upf
Ga 69.72 Ga.upf
Si 28.09 Si.upf
ATOMIC_POSITIONS crystal
Ca 0.000 0.671 0.171
Ca 0.000 0.171 0.329
Ca 0.000 0.329 0.829
Ca 0.000 0.829 0.671
Rh 0.500 0.562 0.688
Rh 0.500 0.500 0.000
Rh 0.500 0.812 0.938
Rh 0.500 0.688 0.438
Rh 0.500 0.938 0.188
Rh 0.500 0.312 0.562
Rh 0.500 0.438 0.312
Rh 0.500 0.000 0.500
Rh 0.500 0.062 0.812
Rh 0.500 0.188 0.062
Ga 0.000 0.132 0.632
Ga 0.000 0.868 0.368
Ga 0.000 0.632 0.868
Ga 0.000 0.368 0.132
Si 0.000 0.000 0.000
Si 0.000 0.500 0.500
CELL_PARAMETERS angstrom
-0.750 1.499 2.639
-6.007 -7.828 2.739
7.921 -4.413 4.759
```

energy relative to the elements, uncorrected = -0.658 eV/atom
calculated volume = 16.39 Å³/atom



No. 2
Material: SnAs2BrCl
Method: DFT, PBE
State: relaxed Values from VASP.

Structure (Quantum ESPRESSO input):
```
&SYSTEM
  ibrav = 0, nat = 5, ntyp = 4
/
ATOMIC_SPECIES
Cl 35.45 Cl.upf
As 74.92 As.upf
Br 79.90 Br.upf
Sn 118.71 Sn.upf
ATOMIC_POSITIONS crystal
Cl 0.500 0.500 0.500
As 0.000 0.500 0.000
As 0.500 0.000 0.000
Br 0.000 0.000 0.500
Sn 0.000 0.000 0.000
CELL_PARAMETERS angstrom
-1.377 -3.002 4.315
4.852 0.990 2.237
-2.017 4.410 2.424
```

energy relative to the elements, uncorrected = 0.559 eV/atom
polymorph energy (0 for the lowest one) = 0.0 meV per atom
calculated volume = 32.02 Å³/atom



No. 3
Material: UGa4Ge
Method: DFT, PBE
State: relaxed Values from VASP.

Structure (Quantum ESPRESSO input):
```
&SYSTEM
  ibrav = 0, nat = 6, ntyp = 3
/
ATOMIC_SPECIES
Ga 69.72 Ga.upf
Ge 72.64 Ge.upf
U 238.03 U.upf
ATOMIC_POSITIONS crystal
Ga 0.124 0.625 0.625
Ga 0.625 0.625 0.124
Ga 0.625 0.625 0.625
Ga 0.625 0.124 0.625
Ge 0.000 0.000 0.000
U 0.250 0.250 0.250
CELL_PARAMETERS angstrom
-4.775 2.223 -1.446
-2.104 -1.019 -4.936
-4.442 -3.142 -0.480
```

DFT formation energy = 76 meV/atom
calculated volume = 19.20 Å³/atom



No. 4
Material: NaHf2I8
Method: DFT, PBE
State: relaxed Values from VASP.

Structure (Quantum ESPRESSO input):
```
&SYSTEM
  ibrav = 0, nat = 11, ntyp = 3
/
ATOMIC_SPECIES
I 126.90 I.upf
Na 22.99 Na.upf
Hf 178.49 Hf.upf
ATOMIC_POSITIONS crystal
I 0.775 0.092 0.698
I 0.291 0.820 0.820
I 0.232 0.362 0.362
I 0.225 0.302 0.908
I 0.225 0.908 0.302
I 0.775 0.698 0.092
I 0.768 0.638 0.638
I 0.709 0.180 0.180
Na 0.000 0.000 0.000
Hf 0.353 0.191 0.191
Hf 0.647 0.809 0.809
CELL_PARAMETERS angstrom
7.618 0.156 0.118
0.262 9.311 0.223
0.262 2.722 8.907
```

energy relative to the elements, uncorrected = -0.805 eV/atom
polymorph energy (0 for the lowest one) = 0.0 meV per atom
calculated volume = 56.96 Å³/atom



No. 5
Material: MoOsRh2
Method: DFT, PBE
State: relaxed Values from VASP.

Structure (Quantum ESPRESSO input):
```
&SYSTEM
  ibrav = 0, nat = 4, ntyp = 3
/
ATOMIC_SPECIES
Mo 95.94 Mo.upf
Os 190.23 Os.upf
Rh 102.91 Rh.upf
ATOMIC_POSITIONS crystal
Mo 0.500 0.500 0.250
Os 0.500 0.500 0.750
Rh 0.000 0.000 0.501
Rh 0.000 0.000 0.999
CELL_PARAMETERS angstrom
-3.265 -0.195 0.517
-0.165 -2.615 -2.024
0.867 -3.323 4.223
```

DFT formation energy = 292 meV/atom
polymorph energy (0 for the lowest one) = 480.5 meV per atom
calculated volume = 14.92 Å³/atom



No. 6
Material: LaIrOs2
Method: DFT, PBE
State: relaxed Values from VASP.

Structure (Quantum ESPRESSO input):
```
&SYSTEM
  ibrav = 0, nat = 4, ntyp = 3
/
ATOMIC_SPECIES
Ir 192.22 Ir.upf
Os 190.23 Os.upf
La 138.91 La.upf
ATOMIC_POSITIONS crystal
Ir 0.500 0.500 0.250
Os 0.000 0.000 0.455
Os 0.000 0.000 0.045
La 0.500 0.500 0.750
CELL_PARAMETERS angstrom
-2.401 -1.627 -0.200
0.818 -0.882 -2.647
4.098 -6.467 3.422
```

DFT formation energy = 395 meV/atom
polymorph energy (0 for the lowest one) = 203.4 meV per atom
calculated volume = 17.72 Å³/atom



No. 7
Material: Tb6Er5Sc
Method: DFT, PBE
State: relaxed Values from VASP.

Structure (Quantum ESPRESSO input):
```
&SYSTEM
  ibrav = 0, nat = 12, ntyp = 3
/
ATOMIC_SPECIES
Er 167.26 Er.upf
Tb 158.93 Tb.upf
Sc 44.96 Sc.upf
ATOMIC_POSITIONS crystal
Er 0.000 0.333 0.333
Er 0.500 0.834 0.333
Er 0.500 0.166 0.667
Er 0.500 0.500 0.000
Er 0.000 0.667 0.667
Tb 0.752 0.751 0.000
Tb 0.248 0.918 0.669
Tb 0.248 0.249 0.000
Tb 0.248 0.586 0.331
Tb 0.752 0.414 0.669
Tb 0.752 0.082 0.331
Sc 0.000 0.000 0.000
CELL_PARAMETERS angstrom
11.536 -1.313 0.000
1.734 5.842 0.000
0.867 2.921 5.272
```

DFT formation energy = 27 meV/atom
calculated volume = 30.61 Å³/atom



No. 8
Material: LiInHg2Br4
Method: DFT, PBE
State: relaxed Values from VASP.

Structure (Quantum ESPRESSO input):
```
&SYSTEM
  ibrav = 0, nat = 8, ntyp = 4
/
ATOMIC_SPECIES
Hg 200.59 Hg.upf
In 114.82 In.upf
Br 79.90 Br.upf
Li 6.94 Li.upf
ATOMIC_POSITIONS crystal
Hg 0.485 0.986 0.971
Hg 0.236 0.235 0.471
In 0.736 0.736 0.472
Br 0.001 0.112 0.750
Br 0.834 0.471 0.195
Br 0.749 0.637 0.749
Br 0.360 0.723 0.194
Li 0.986 0.486 0.973
CELL_PARAMETERS angstrom
-5.561 3.639 4.659
-5.393 -0.524 -6.032
4.048 -5.870 2.343
```

energy relative to the elements, uncorrected = -0.716 eV/atom
calculated volume = 39.78 Å³/atom



No. 9
Material: BaLaNiBi2
Method: DFT, PBE
State: relaxed Values from VASP.

Structure (Quantum ESPRESSO input):
```
&SYSTEM
  ibrav = 0, nat = 5, ntyp = 4
/
ATOMIC_SPECIES
Bi 208.98 Bi.upf
Ba 137.33 Ba.upf
La 138.91 La.upf
Ni 58.69 Ni.upf
ATOMIC_POSITIONS crystal
Bi 0.500 0.000 0.000
Bi 0.000 0.000 0.500
Ba 0.000 0.500 0.000
La 0.500 0.500 0.500
Ni 0.000 0.000 0.000
CELL_PARAMETERS angstrom
-3.275 -3.752 -2.291
3.719 -1.091 -3.528
2.049 -3.830 3.344
```

DFT formation energy = -184 meV/atom
calculated volume = 31.50 Å³/atom



No. 10
Material: Y2Mg2Cu3
Method: DFT, PBE
State: relaxed Values from VASP.

Structure (Quantum ESPRESSO input):
```
&SYSTEM
  ibrav = 0, nat = 7, ntyp = 3
/
ATOMIC_SPECIES
Mg 24.30 Mg.upf
Y 88.91 Y.upf
Cu 63.55 Cu.upf
ATOMIC_POSITIONS crystal
Mg 0.703 0.297 0.500
Mg 0.297 0.703 0.500
Y 0.889 0.111 0.000
Y 0.111 0.889 0.000
Cu 0.456 0.544 0.500
Cu 0.000 0.000 0.000
Cu 0.544 0.456 0.500
CELL_PARAMETERS angstrom
1.656 -13.648 0.000
1.656 13.648 0.000
0.000 0.000 3.274
```

DFT formation energy = -19 meV/atom
polymorph energy (0 for the lowest one) = 115.0 meV per atom
calculated volume = 21.14 Å³/atom



No. 11
Material: Ba2ZnTc
Method: DFT, PBE
State: relaxed Values from VASP.

Structure (Quantum ESPRESSO input):
```
&SYSTEM
  ibrav = 0, nat = 4, ntyp = 3
/
ATOMIC_SPECIES
Zn 65.41 Zn.upf
Ba 137.33 Ba.upf
Tc 98.00 Tc.upf
ATOMIC_POSITIONS crystal
Zn 0.750 0.750 0.750
Ba 0.991 0.991 0.991
Ba 0.509 0.509 0.509
Tc 0.250 0.250 0.250
CELL_PARAMETERS angstrom
-6.903 -1.056 -7.423
-7.787 -4.050 -5.178
-9.189 -0.562 -4.371
```

DFT formation energy = 796 meV/atom
calculated volume = 31.83 Å³/atom



No. 12
Material: Hf2Al2Sn
Method: DFT, PBE
State: relaxed Values from VASP.

Structure (Quantum ESPRESSO input):
```
&SYSTEM
  ibrav = 0, nat = 10, ntyp = 3
/
ATOMIC_SPECIES
Al 26.98 Al.upf
Hf 178.49 Hf.upf
Sn 118.71 Sn.upf
ATOMIC_POSITIONS crystal
Al 0.875 0.625 0.000
Al 0.625 0.125 0.000
Al 0.375 0.875 0.000
Al 0.125 0.375 0.000
Hf 0.674 0.826 0.500
Hf 0.826 0.326 0.500
Hf 0.174 0.674 0.500
Hf 0.326 0.174 0.500
Sn 0.000 0.000 0.000
Sn 0.500 0.500 0.000
CELL_PARAMETERS angstrom
-4.174 -4.361 3.588
5.453 -1.951 3.972
-0.836 2.929 2.587
```

DFT formation energy = -204 meV/atom
polymorph energy (0 for the lowest one) = 0.0 meV per atom
calculated volume = 19.71 Å³/atom